This record from Alexandria via LeMat-Bulk describes a geometry-optimized LiZnCdCo structure. The functional is PBE-GGA.

Summary:
Space group: F-43m, No. 216
Calculated total energy (eV/atom): -2.78

Cell lengths 4.3315, 4.3315, 4.3315 Å; angles 60.00, 60.00, 60.00 degrees
Sites, in units of the cell vectors:
Li 0.0000 0.0000 0.0000
Zn 0.7500 0.7500 0.7500
Cd 0.2500 0.2500 0.2500
Co 0.5000 0.5000 0.5000